[1]
LuGa2Pd | PBE | optimized geometry

ΔH_f (0 K), eV/atom: -0.6538
DOS at the Fermi energy, states/eV/cell: 6.08

Unit cell a=4.2697 b=4.2697 c=14.2764 alpha=90.00 beta=90.00 gamma=120.00
Space group R-3m (No. 166, hexagonal axes)
Symmetry-distinct sites (fractional):
Lu (0.0000, 0.0000, 0.0000)
Ga (0.0000, 0.0000, 0.2211)
Pd (0.0000, 0.0000, 0.5000)

***

[2]
LuGa2Pd | PBE | optimized geometry

ΔH_f (0 K), eV/atom: -0.5709
DOS at the Fermi energy, states/eV/cell: 13.59

Unit cell a=6.585 b=6.585 c=6.585 alpha=90.00 beta=90.00 gamma=90.00
Space group Fm-3m (No. 225)
Symmetry-distinct sites (fractional):
Lu (0.000, 0.000, 0.000)
Ga (0.250, 0.250, 0.250)
Pd (0.000, 0.000, 0.500)

***

[3]
Lu6Ga19Pd3 | PBE | optimized geometry

ΔH_f (0 K), eV/atom: -0.5281
DOS at the Fermi energy, states/eV/cell: 17.67

Unit cell a=15.595 b=4.214 c=15.928 alpha=90.00 beta=102.23 gamma=90.00
Space group Cm (No. 8)
Symmetry-distinct sites (fractional):
Lu (0.000, 0.000, 0.000)
Lu (0.003, 0.500, 0.499)
Lu (0.157, 0.000, 0.845)
Lu (0.163, 0.500, 0.342)
Lu (0.341, 0.500, 0.156)
Lu (0.354, 0.000, 0.661)
Ga (0.017, 0.500, 0.856)
Ga (0.025, 0.000, 0.359)
Ga (0.068, 0.000, 0.206)
Ga (0.080, 0.500, 0.711)
Ga (0.143, 0.500, 0.983)
Ga (0.150, 0.000, 0.487)
Ga (0.206, 0.000, 0.069)
Ga (0.217, 0.500, 0.577)
Ga (0.244, 0.000, 0.243)
Ga (0.256, 0.500, 0.753)
Ga (0.292, 0.500, 0.928)
Ga (0.299, 0.000, 0.434)
Ga (0.355, 0.000, 0.016)
Ga (0.356, 0.500, 0.354)
Ga (0.367, 0.500, 0.525)
Ga (0.431, 0.500, 0.795)
Ga (0.434, 0.000, 0.290)
Ga (0.482, 0.000, 0.140)
Ga (0.493, 0.500, 0.651)
Pd (0.147, 0.500, 0.147)
Pd (0.157, 0.000, 0.650)
Pd (0.351, 0.000, 0.852)

***

[4]
Lu2GaPd | PBE | optimized geometry

ΔH_f (0 K), eV/atom: -0.7768
DOS at the Fermi energy, states/eV/cell: 2.59

Unit cell a=3.492 b=3.492 c=6.858 alpha=90.00 beta=90.00 gamma=90.00
Space group P4/mmm (No. 123)
Symmetry-distinct sites (fractional):
Lu (0.000, 0.000, 0.242)
Ga (0.500, 0.500, 0.500)
Pd (0.500, 0.500, 0.000)

***

[5]
LuGa2Pd | PBE | optimized geometry

ΔH_f (0 K), eV/atom: -0.7821
DOS at the Fermi energy, states/eV/cell: 3.08

Unit cell a=4.359 b=6.619 c=5.461 alpha=90.00 beta=113.39 gamma=90.00
Space group P2_1/m (No. 11)
Symmetry-distinct sites (fractional):
Lu (0.086, 0.250, 0.171)
Ga (0.372, 0.052, 0.744)
Pd (0.202, 0.750, 0.404)

***

[6]
LuGa2Pd | PBE | optimized geometry

ΔH_f (0 K), eV/atom: -0.6078
DOS at the Fermi energy, states/eV/cell: 2.44

Unit cell a=4.078 b=4.078 c=4.406 alpha=90.00 beta=90.00 gamma=90.00
Space group P4/mmm (No. 123)
Symmetry-distinct sites (fractional):
Lu (0.000, 0.000, 0.000)
Ga (0.000, 0.500, 0.500)
Pd (0.500, 0.500, 0.000)

***

[7]
PmLuGaPd | PBE | optimized geometry

ΔH_f (0 K), eV/atom: -0.6765
DOS at the Fermi energy, states/eV/cell: 12.11

Unit cell a=7.128 b=7.128 c=7.128 alpha=90.00 beta=90.00 gamma=90.00
Space group F-43m (No. 216)
Symmetry-distinct sites (fractional):
Pm (0.000, 0.000, 0.000)
Lu (0.000, 0.000, 0.500)
Ga (0.250, 0.250, 0.250)
Pd (0.250, 0.250, 0.750)

***

[8]
PrLuGaPd | PBE | optimized geometry

ΔH_f (0 K), eV/atom: -0.6436
DOS at the Fermi energy, states/eV/cell: 12.12

Unit cell a=7.188 b=7.188 c=7.188 alpha=90.00 beta=90.00 gamma=90.00
Space group F-43m (No. 216)
Symmetry-distinct sites (fractional):
Pr (0.000, 0.000, 0.000)
Lu (0.000, 0.000, 0.500)
Ga (0.250, 0.250, 0.250)
Pd (0.250, 0.250, 0.750)

***

[9]
LuGaPdPt | PBE | optimized geometry

ΔH_f (0 K), eV/atom: -0.9354
DOS at the Fermi energy, states/eV/cell: 11.50

Unit cell a=6.537 b=6.537 c=6.537 alpha=90.00 beta=90.00 gamma=90.00
Space group F-43m (No. 216)
Symmetry-distinct sites (fractional):
Lu (0.000, 0.000, 0.000)
Ga (0.000, 0.000, 0.500)
Pd (0.250, 0.250, 0.750)
Pt (0.250, 0.250, 0.250)

***

[10]
LuGaPdRh | PBE | optimized geometry

ΔH_f (0 K), eV/atom: -0.8494
DOS at the Fermi energy, states/eV/cell: 10.27

Unit cell a=6.459 b=6.459 c=6.459 alpha=90.00 beta=90.00 gamma=90.00
Space group F-43m (No. 216)
Symmetry-distinct sites (fractional):
Lu (0.000, 0.000, 0.000)
Ga (0.000, 0.000, 0.500)
Pd (0.250, 0.250, 0.250)
Rh (0.250, 0.250, 0.750)

***

[11]
LuScGaPd | PBE | optimized geometry

ΔH_f (0 K), eV/atom: -0.7351
DOS at the Fermi energy, states/eV/cell: 13.26

Unit cell a=6.825 b=6.825 c=6.825 alpha=90.00 beta=90.00 gamma=90.00
Space group F-43m (No. 216)
Symmetry-distinct sites (fractional):
Lu (0.000, 0.000, 0.000)
Sc (0.000, 0.000, 0.500)
Ga (0.250, 0.250, 0.250)
Pd (0.250, 0.250, 0.750)

***

[12]
SmLuGaPd | PBE | optimized geometry

ΔH_f (0 K), eV/atom: -0.6859
DOS at the Fermi energy, states/eV/cell: 12.55

Unit cell a=7.107 b=7.107 c=7.107 alpha=90.00 beta=90.00 gamma=90.00
Space group F-43m (No. 216)
Symmetry-distinct sites (fractional):
Sm (0.000, 0.000, 0.000)
Lu (0.000, 0.000, 0.500)
Ga (0.250, 0.250, 0.750)
Pd (0.250, 0.250, 0.250)

***

[13]
TbLuGaPd | PBE | optimized geometry

ΔH_f (0 K), eV/atom: -0.7196
DOS at the Fermi energy, states/eV/cell: 13.60

Unit cell a=7.044 b=7.044 c=7.044 alpha=90.00 beta=90.00 gamma=90.00
Space group F-43m (No. 216)
Symmetry-distinct sites (fractional):
Tb (0.000, 0.000, 0.000)
Lu (0.000, 0.000, 0.500)
Ga (0.250, 0.250, 0.250)
Pd (0.250, 0.250, 0.750)

***

[14]
LuTiGaPd | PBE | optimized geometry

ΔH_f (0 K), eV/atom: -0.5042
DOS at the Fermi energy, states/eV/cell: 20.24

Unit cell a=6.674 b=6.674 c=6.674 alpha=90.00 beta=90.00 gamma=90.00
Space group F-43m (No. 216)
Symmetry-distinct sites (fractional):
Lu (0.000, 0.000, 0.000)
Ti (0.000, 0.000, 0.500)
Ga (0.250, 0.250, 0.250)
Pd (0.250, 0.250, 0.750)

***

[15]
TmLuGaPd | PBE | optimized geometry

ΔH_f (0 K), eV/atom: -0.7428
DOS at the Fermi energy, states/eV/cell: 14.17

Unit cell a=6.978 b=6.978 c=6.978 alpha=90.00 beta=90.00 gamma=90.00
Space group F-43m (No. 216)
Symmetry-distinct sites (fractional):
Tm (0.000, 0.000, 0.000)
Lu (0.000, 0.000, 0.500)
Ga (0.250, 0.250, 0.750)
Pd (0.250, 0.250, 0.250)